This record from the Alexandria database describes a relaxed structure of HfPdAu. The functional is PBE.

Lattice parameters (Å, degrees): 4.687 4.687 5.691 90.00 90.00 120.14
Fractional coordinates of all 6 atoms:
Hf1 0.166 0.834 0.750
Hf2 0.834 0.166 0.250
Pd1 0.167 0.833 0.250
Pd2 0.833 0.167 0.750
Au1 0.500 0.500 0.000
Au2 0.500 0.500 0.500

Values from the calculation:
E_tot   -40.46 eV/cell
Space-group type   No. 63
Formation enthalpy at 0 K   -0.601 eV/atom

---

This record from the Alexandria database describes a relaxed structure of VCrCo. The functional is PBE.

Lattice parameters (Å, degrees): 4.109 4.109 2.449 90.00 90.00 120.00
Fractional coordinates of all 3 atoms:
V1 0.000 0.000 0.000
Cr1 0.333 0.667 0.680
Co1 0.667 0.333 0.322

Values from the calculation:
E_tot   -25.69 eV/cell
Space-group type   No. 156
Formation enthalpy at 0 K   0.053 eV/atom

---

This record from the Alexandria database describes a relaxed structure of RbTc2H. The functional is PBE.

Lattice parameters (Å, degrees): 5.893 5.893 5.893 60.00 60.00 60.00
Fractional coordinates of all 8 atoms:
Rb1 0.125 0.125 0.125
Rb2 0.875 0.875 0.875
Tc1 0.000 0.500 0.500
Tc2 0.500 0.000 0.500
Tc3 0.500 0.500 0.000
Tc4 0.500 0.500 0.500
H1 0.375 0.375 0.375
H2 0.625 0.625 0.625

Values from the calculation:
E_tot   -40.77 eV/cell
Space-group type   No. 227

---

This record from the Alexandria database describes a relaxed structure of BaSi2Pb2. The functional is PBE.

Lattice parameters (Å, degrees): 8.320 8.320 4.205 90.00 90.00 90.00
Fractional coordinates of all 10 atoms:
Ba1 0.000 0.000 0.000
Ba2 0.500 0.500 0.000
Si1 0.102 0.398 0.000
Si2 0.398 0.898 0.000
Si3 0.602 0.102 0.000
Si4 0.898 0.602 0.000
Pb1 0.156 0.656 0.500
Pb2 0.344 0.156 0.500
Pb3 0.656 0.844 0.500
Pb4 0.844 0.344 0.500

Values from the calculation:
E_tot   -40.58 eV/cell
Uncorrected formation energy   -0.02 eV per atom
Space-group type   No. 127

---

This record from the Alexandria database describes a relaxed structure of TbAlZn4Cu2. The functional is PBE.

Lattice parameters (Å, degrees): 9.079 9.079 9.079 26.71 26.71 26.71
Fractional coordinates of all 8 atoms:
Tb1 0.000 0.000 0.000
Al1 0.500 0.500 0.500
Zn1 0.123 0.123 0.123
Zn2 0.400 0.400 0.400
Zn3 0.600 0.600 0.600
Zn4 0.877 0.877 0.877
Cu1 0.237 0.237 0.237
Cu2 0.763 0.763 0.763

Values from the calculation:
E_tot   -22.77 eV/cell
Space-group type   No. 166
Formation enthalpy at 0 K   -0.139 eV/atom

---

This record from the Alexandria database describes a relaxed structure of AsRu2Pb. The functional is PBE.

Lattice parameters (Å, degrees): 6.500 6.500 6.500 151.69 146.50 44.41
Fractional coordinates of all 4 atoms:
As1 0.000 0.000 0.000
Ru1 0.559 0.559 0.000
Ru2 0.848 0.348 0.500
Pb1 0.240 0.740 0.500

Values from the calculation:
E_tot   -26.09 eV/cell
Space-group type   No. 44
Formation enthalpy at 0 K   0.204 eV/atom

---

This record from the Alexandria database describes a relaxed structure of K2Cd4In5. The functional is PBE.

Lattice parameters (Å, degrees): 7.715 7.715 7.715 130.59 100.43 99.69
Fractional coordinates of all 11 atoms:
K1 0.195 0.000 0.195
K2 0.805 0.000 0.805
Cd1 0.080 0.335 0.745
Cd2 0.409 0.665 0.745
Cd3 0.591 0.335 0.255
Cd4 0.920 0.665 0.255
In1 0.000 0.500 0.500
In2 0.327 0.067 0.740
In3 0.327 0.587 0.260
In4 0.673 0.413 0.740
In5 0.673 0.933 0.260

Values from the calculation:
E_tot   -20.03 eV/cell
Space-group type   No. 71
Formation enthalpy at 0 K   -0.044 eV/atom

---

This record from the Alexandria database describes a relaxed structure of VCoAgH2. The functional is PBE.

Lattice parameters (Å, degrees): 3.494 3.494 4.856 90.00 90.00 90.00
Fractional coordinates of all 5 atoms:
V1 0.000 0.000 0.000
Co1 0.500 0.500 0.500
Ag1 0.500 0.500 0.000
H1 0.000 0.500 0.500
H2 0.500 0.000 0.500

Values from the calculation:
E_tot   -20.80 eV/cell
Space-group type   No. 123

---

> What is the E_tot in the second record?

-25.69 eV/cell